# 1
The following is a DFT calculation (GGA-PBE) of crystalline Li3Ac2InPd12 at its relaxed geometry.

CIF file:
```
data_Li3Ac2InPd12
_cell_length_a 8.200
_cell_length_b 8.200
_cell_length_c 8.200
_cell_angle_alpha 57.73
_cell_angle_beta 57.73
_cell_angle_gamma 57.73
_space_group_name_H-M_alt 'P 1'
_space_group_IT_number 1
_space_group_name_Hall 'P 1'
loop_
_atom_site_label
_atom_site_type_symbol
_atom_site_fract_x
_atom_site_fract_y
_atom_site_fract_z
Li1 Li 0.000 0.500 0.500
Li2 Li 0.500 0.000 0.500
Li3 Li 0.500 0.500 0.000
Ac1 Ac 0.114 0.114 0.114
Ac2 Ac 0.886 0.886 0.886
In1 In 0.500 0.500 0.500
Pd1 Pd 0.093 0.638 0.638
Pd2 Pd 0.132 0.132 0.623
Pd3 Pd 0.132 0.623 0.132
Pd4 Pd 0.362 0.362 0.907
Pd5 Pd 0.362 0.907 0.362
Pd6 Pd 0.377 0.868 0.868
Pd7 Pd 0.623 0.132 0.132
Pd8 Pd 0.638 0.093 0.638
Pd9 Pd 0.638 0.638 0.093
Pd10 Pd 0.868 0.377 0.868
Pd11 Pd 0.868 0.868 0.377
Pd12 Pd 0.907 0.362 0.362
```

Results
VASP energy: -4.58 eV per atom
SG: R-3m (166)


# 2
The following is a DFT calculation (GGA-PBE) of crystalline Li3Ho2PdO6 at its relaxed geometry.

CIF file:
```
data_Li3Ho2PdO6
_cell_length_a 5.642
_cell_length_b 5.642
_cell_length_c 5.337
_cell_angle_alpha 98.87
_cell_angle_beta 98.87
_cell_angle_gamma 120.74
_space_group_name_H-M_alt 'P 1'
_space_group_IT_number 1
_space_group_name_Hall 'P 1'
loop_
_atom_site_label
_atom_site_type_symbol
_atom_site_fract_x
_atom_site_fract_y
_atom_site_fract_z
Li1 Li 0.000 0.000 0.000
Li2 Li 0.357 0.643 0.000
Li3 Li 0.643 0.357 0.000
Ho1 Ho 0.170 0.830 0.500
Ho2 Ho 0.830 0.170 0.500
Pd1 Pd 0.500 0.500 0.500
O1 O 0.093 0.421 0.250
O2 O 0.260 0.260 0.732
O3 O 0.421 0.093 0.250
O4 O 0.579 0.907 0.750
O5 O 0.740 0.740 0.268
O6 O 0.907 0.579 0.750
```

Results
VASP energy: -6.36 eV per atom
SG: C2/m (12)
Raw formation energy: -2202 meV/atom


# 3
The following is a DFT calculation (GGA-PBE) of crystalline HfV2Mo at its relaxed geometry.

CIF file:
```
data_HfV2Mo
_cell_length_a 4.480
_cell_length_b 4.480
_cell_length_c 3.186
_cell_angle_alpha 90.00
_cell_angle_beta 90.00
_cell_angle_gamma 90.00
_space_group_name_H-M_alt 'P 1'
_space_group_IT_number 1
_space_group_name_Hall 'P 1'
loop_
_atom_site_label
_atom_site_type_symbol
_atom_site_fract_x
_atom_site_fract_y
_atom_site_fract_z
Hf1 Hf 0.000 0.000 0.000
V1 V 0.000 0.500 0.500
V2 V 0.500 0.000 0.500
Mo1 Mo 0.500 0.500 0.000
```

Results
VASP energy: -9.65 eV per atom
SG: P4/mmm (123)
Polymorph energy (0 for the lowest one): 0.34 eV per formula unit


# 4
The following is a DFT calculation (GGA-PBE) of crystalline CeScIrRh at its relaxed geometry.

CIF file:
```
data_CeScIrRh
_cell_length_a 6.756
_cell_length_b 6.756
_cell_length_c 6.756
_cell_angle_alpha 90.00
_cell_angle_beta 90.00
_cell_angle_gamma 90.00
_space_group_name_H-M_alt 'P 1'
_space_group_IT_number 1
_space_group_name_Hall 'P 1'
loop_
_atom_site_label
_atom_site_type_symbol
_atom_site_fract_x
_atom_site_fract_y
_atom_site_fract_z
Ce1 Ce 0.000 0.000 0.000
Ce2 Ce 0.000 0.500 0.500
Ce3 Ce 0.500 0.000 0.500
Ce4 Ce 0.500 0.500 0.000
Sc1 Sc 0.000 0.000 0.500
Sc2 Sc 0.000 0.500 0.000
Sc3 Sc 0.500 0.000 0.000
Sc4 Sc 0.500 0.500 0.500
Ir1 Ir 0.250 0.250 0.750
Ir2 Ir 0.250 0.750 0.250
Ir3 Ir 0.750 0.250 0.250
Ir4 Ir 0.750 0.750 0.750
Rh1 Rh 0.250 0.250 0.250
Rh2 Rh 0.250 0.750 0.750
Rh3 Rh 0.750 0.250 0.750
Rh4 Rh 0.750 0.750 0.250
```

Results
VASP energy: -7.89 eV per atom
SG: F-43m (216)


# 5
The following is a DFT calculation (GGA-PBE) of crystalline SiMoRu2 at its relaxed geometry.

CIF file:
```
data_SiMoRu2
_cell_length_a 4.380
_cell_length_b 4.380
_cell_length_c 2.927
_cell_angle_alpha 90.00
_cell_angle_beta 90.00
_cell_angle_gamma 90.00
_space_group_name_H-M_alt 'P 1'
_space_group_IT_number 1
_space_group_name_Hall 'P 1'
loop_
_atom_site_label
_atom_site_type_symbol
_atom_site_fract_x
_atom_site_fract_y
_atom_site_fract_z
Si1 Si 0.000 0.000 0.000
Mo1 Mo 0.500 0.500 0.000
Ru1 Ru 0.000 0.500 0.500
Ru2 Ru 0.500 0.000 0.500
```

Results
VASP energy: -8.78 eV per atom
SG: P4/mmm (123)
Raw formation energy: -78 meV/atom


# 6
The following is a DFT calculation (GGA-PBE) of crystalline KLiZnSe2 at its relaxed geometry.

CIF file:
```
data_KLiZnSe2
_cell_length_a 5.833
_cell_length_b 5.833
_cell_length_c 5.831
_cell_angle_alpha 90.00
_cell_angle_beta 90.00
_cell_angle_gamma 90.00
_space_group_name_H-M_alt 'P 1'
_space_group_IT_number 1
_space_group_name_Hall 'P 1'
loop_
_atom_site_label
_atom_site_type_symbol
_atom_site_fract_x
_atom_site_fract_y
_atom_site_fract_z
K1 K 0.000 0.000 0.000
Li1 Li 0.500 0.500 0.500
Zn1 Zn 0.000 0.000 0.500
Se1 Se 0.000 0.500 0.000
Se2 Se 0.500 0.000 0.000
```

Results
VASP energy: -1.87 eV per atom
SG: P4/mmm (123)
Raw formation energy: 383 meV/atom


# 7
The following is a DFT calculation (GGA-PBE) of crystalline La4SmMg3 at its relaxed geometry.

CIF file:
```
data_La4SmMg3
_cell_length_a 3.902
_cell_length_b 3.902
_cell_length_c 17.046
_cell_angle_alpha 90.00
_cell_angle_beta 90.00
_cell_angle_gamma 90.00
_space_group_name_H-M_alt 'P 1'
_space_group_IT_number 1
_space_group_name_Hall 'P 1'
loop_
_atom_site_label
_atom_site_type_symbol
_atom_site_fract_x
_atom_site_fract_y
_atom_site_fract_z
La1 La 0.000 0.000 0.117
La2 La 0.000 0.000 0.355
La3 La 0.000 0.000 0.645
La4 La 0.000 0.000 0.883
Sm1 Sm 0.500 0.500 0.500
Mg1 Mg 0.500 0.500 0.000
Mg2 Mg 0.500 0.500 0.237
Mg3 Mg 0.500 0.500 0.763
```

Results
VASP energy: -3.72 eV per atom
SG: P4/mmm (123)


# 8
The following is a DFT calculation (GGA-PBE) of crystalline Cs2NaUI6 at its relaxed geometry.

CIF file:
```
data_Cs2NaUI6
_cell_length_a 15.919
_cell_length_b 15.919
_cell_length_c 15.919
_cell_angle_alpha 31.93
_cell_angle_beta 31.93
_cell_angle_gamma 31.93
_space_group_name_H-M_alt 'P 1'
_space_group_IT_number 1
_space_group_name_Hall 'P 1'
loop_
_atom_site_label
_atom_site_type_symbol
_atom_site_fract_x
_atom_site_fract_y
_atom_site_fract_z
Cs1 Cs 0.116 0.116 0.116
Cs2 Cs 0.291 0.291 0.291
Cs3 Cs 0.709 0.709 0.709
Cs4 Cs 0.884 0.884 0.884
Na1 Na 0.000 0.000 0.000
Na2 Na 0.500 0.500 0.500
U1 U 0.415 0.415 0.415
U2 U 0.585 0.585 0.585
I1 I 0.121 0.622 0.622
I2 I 0.208 0.208 0.708
I3 I 0.208 0.708 0.208
I4 I 0.292 0.792 0.792
I5 I 0.378 0.378 0.879
I6 I 0.378 0.879 0.378
I7 I 0.622 0.121 0.622
I8 I 0.622 0.622 0.121
I9 I 0.708 0.208 0.208
I10 I 0.792 0.292 0.792
I11 I 0.792 0.792 0.292
I12 I 0.879 0.378 0.378
```

Results
VASP energy: -3.57 eV per atom
SG: R-3m (166)
Raw formation energy: -1207 meV/atom


# 9
The following is a DFT calculation (GGA-PBE) of crystalline Ba2PIr at its relaxed geometry.

CIF file:
```
data_Ba2PIr
_cell_length_a 8.533
_cell_length_b 8.533
_cell_length_c 6.585
_cell_angle_alpha 90.00
_cell_angle_beta 90.00
_cell_angle_gamma 90.00
_space_group_name_H-M_alt 'P 1'
_space_group_IT_number 1
_space_group_name_Hall 'P 1'
loop_
_atom_site_label
_atom_site_type_symbol
_atom_site_fract_x
_atom_site_fract_y
_atom_site_fract_z
Ba1 Ba 0.225 0.250 0.125
Ba2 Ba 0.250 0.725 0.375
Ba3 Ba 0.250 0.775 0.875
Ba4 Ba 0.275 0.250 0.625
Ba5 Ba 0.725 0.750 0.625
Ba6 Ba 0.750 0.225 0.875
Ba7 Ba 0.750 0.275 0.375
Ba8 Ba 0.775 0.750 0.125
P1 P 0.000 0.000 0.500
P2 P 0.000 0.500 0.750
P3 P 0.500 0.000 0.250
P4 P 0.500 0.500 0.000
Ir1 Ir 0.000 0.000 0.000
Ir2 Ir 0.000 0.500 0.250
Ir3 Ir 0.500 0.000 0.750
Ir4 Ir 0.500 0.500 0.500
```

Results
VASP energy: -4.40 eV per atom
SG: I-42d (122)


# 10
The following is a DFT calculation (GGA-PBE) of crystalline Nd4ErAg at its relaxed geometry.

CIF file:
```
data_Nd4ErAg
_cell_length_a 3.670
_cell_length_b 3.670
_cell_length_c 14.136
_cell_angle_alpha 90.00
_cell_angle_beta 90.00
_cell_angle_gamma 90.00
_space_group_name_H-M_alt 'P 1'
_space_group_IT_number 1
_space_group_name_Hall 'P 1'
loop_
_atom_site_label
_atom_site_type_symbol
_atom_site_fract_x
_atom_site_fract_y
_atom_site_fract_z
Nd1 Nd 0.000 0.000 0.139
Nd2 Nd 0.000 0.000 0.861
Nd3 Nd 0.500 0.500 0.325
Nd4 Nd 0.500 0.500 0.675
Er1 Er 0.000 0.000 0.500
Ag1 Ag 0.500 0.500 0.000
```

Results
VASP energy: -4.48 eV per atom
SG: P4/mmm (123)


# 11
The following is a DFT calculation (GGA-PBE) of crystalline RbAgGe2Br at its relaxed geometry.

CIF file:
```
data_RbAgGe2Br
_cell_length_a 4.919
_cell_length_b 4.919
_cell_length_c 7.423
_cell_angle_alpha 90.00
_cell_angle_beta 90.00
_cell_angle_gamma 90.00
_space_group_name_H-M_alt 'P 1'
_space_group_IT_number 1
_space_group_name_Hall 'P 1'
loop_
_atom_site_label
_atom_site_type_symbol
_atom_site_fract_x
_atom_site_fract_y
_atom_site_fract_z
Rb1 Rb 0.000 0.000 0.000
Ag1 Ag 0.500 0.500 0.500
Ge1 Ge 0.000 0.500 0.500
Ge2 Ge 0.500 0.000 0.500
Br1 Br 0.500 0.500 0.000
```

Results
VASP energy: -2.92 eV per atom
SG: P4/mmm (123)
Raw formation energy: 28 meV/atom


# 12
The following is a DFT calculation (GGA-PBE) of crystalline NdTeSe at its relaxed geometry.

CIF file:
```
data_NdTeSe
_cell_length_a 4.267
_cell_length_b 5.926
_cell_length_c 14.434
_cell_angle_alpha 90.00
_cell_angle_beta 90.00
_cell_angle_gamma 90.00
_space_group_name_H-M_alt 'P 1'
_space_group_IT_number 1
_space_group_name_Hall 'P 1'
loop_
_atom_site_label
_atom_site_type_symbol
_atom_site_fract_x
_atom_site_fract_y
_atom_site_fract_z
Nd1 Nd 0.000 0.000 0.155
Nd2 Nd 0.000 0.000 0.845
Nd3 Nd 0.500 0.500 0.345
Nd4 Nd 0.500 0.500 0.655
Te1 Te 0.000 0.249 0.500
Te2 Te 0.000 0.751 0.500
Te3 Te 0.500 0.251 0.000
Te4 Te 0.500 0.749 0.000
Se1 Se 0.000 0.500 0.210
Se2 Se 0.000 0.500 0.790
Se3 Se 0.500 0.000 0.290
Se4 Se 0.500 0.000 0.710
```

Results
VASP energy: -5.25 eV per atom
SG: Immm (71)
Polymorph energy (0 for the lowest one): 0.00 eV per formula unit
Raw formation energy: -1456 meV/atom